A plane-wave DFT calculation with PBE-GGA was carried out for ScCo2BOs after structural relaxation.

a = 3.8993 Å, b = 3.8993 Å, c = 4.1030 Å
α = 90.00°, β = 90.00°, γ = 90.00°
Closest atoms and distances in Å follow each position.
Sites, in units of the cell vectors:
Os (0.0000, 0.0000, 0.5000)  2 B 2.05
B (0.0000, 0.0000, 0.0000)  4 Co 1.95, 2 Os 2.05
Co (0.5000, 0.0000, 0.0000)  2 B 1.95
Co (0.0000, 0.5000, 0.0000)  2 B 1.95
Sc (0.5000, 0.5000, 0.5000)  4 Os 2.76, 8 Co 2.83

Calculated values
The calculated density is 9.69 g/cm³. The energy above the most stable polymorph in this dataset comes out at 0.00 eV per formula unit.

=====

A plane-wave DFT calculation with PBE-GGA was carried out for SmTmCdGa after structural relaxation.

a = 3.6314 Å, b = 3.6314 Å, c = 7.4972 Å
α = 90.00°, β = 90.00°, γ = 90.00°
Closest atoms and distances in Å follow each position.
Sites, in units of the cell vectors:
Tm (0.5000, 0.5000, 0.5920)  4 Ga 3.06, 4 Cd 3.18
Cd (0.0000, 0.0000, 0.8420)  4 Tm 3.18, 4 Sm 3.32, 1 Ga 3.54
Ga (0.0000, 0.0000, 0.3703)  4 Tm 3.06, 4 Sm 3.16
Sm (0.5000, 0.5000, 0.1237)  4 Ga 3.16, 4 Cd 3.32, 1 Tm 3.51

Calculated values
The calculated density is 8.42 g/cm³. The energy above the most stable polymorph in this dataset comes out at 0.00 eV per formula unit.